The following is a GGA-PBE calculation of NaPaCoN3 after structural relaxation, from Alexandria via LeMat-Bulk.

Summary:
E_form (uncorrected) = -0.7126 eV per atom
total moment = 0.092 Bohr magnetons per cell
DOS at the Fermi energy = 0.244 states/eV/atom
symmetry = P2_1/m (11)

Lattice parameters (Å, degrees): 3.4956 6.9663 7.9802 98.85 90.00 90.00
Closest atoms and distances in Å follow each position.
Fractional coordinates of all 12 atoms:
N1 0.7500 0.1557 0.5612  3 Co 1.81-1.91
N2 0.2500 0.5597 0.8769  3 Pa 2.27-2.30
N3 0.2500 0.1413 0.8348  1 Co 1.89
N4 0.7500 0.4403 0.1231  3 Pa 2.27-2.30
N5 0.7500 0.8587 0.1652  1 Co 1.89
N6 0.2500 0.8443 0.4388  3 Co 1.81-1.91
Na1 0.7500 0.8489 0.8392  5 N 2.59-2.72
Na2 0.2500 0.1511 0.1608  5 N 2.59-2.72
Co1 0.7500 0.9391 0.4030  4 N 1.81-1.91
Co2 0.2500 0.0609 0.5970  4 N 1.81-1.91
Pa1 0.2500 0.6500 0.1669  6 N 2.27-2.37
Pa2 0.7500 0.3500 0.8331  6 N 2.27-2.37

---

The following is a GGA-PBE calculation of Tb6TlTe8 after structural relaxation, from Alexandria via LeMat-Bulk.

Summary:
E_form (uncorrected) = -1.2440 eV per atom
total moment = 0.002 Bohr magnetons per cell
DOS at the Fermi energy = 0.799 states/eV/atom
symmetry = P-3 (147)

Lattice parameters (Å, degrees): 4.4379 11.7641 11.7641 120.00 90.00 90.00
Closest atoms and distances in Å follow each position.
Fractional coordinates of all 15 atoms:
Te1 0.2506 0.9544 0.3058  4 Tb 3.07-3.13
Te2 0.2506 0.3514 0.0456  4 Tb 3.07-3.13
Te3 0.7505 0.6667 0.3333  6 Tb 3.15
Te4 0.7494 0.6486 0.9544  4 Tb 3.07-3.13
Te5 0.7494 0.0456 0.6942  4 Tb 3.07-3.13
Te6 0.2506 0.6942 0.6486  4 Tb 3.07-3.13
Te7 0.7494 0.3058 0.3514  4 Tb 3.07-3.13
Te8 0.2495 0.3333 0.6667  6 Tb 3.15
Tb1 0.2503 0.4850 0.3495  6 Te 3.07-3.15
Tb2 0.7497 0.5150 0.6505  6 Te 3.07-3.15
Tb3 0.2503 0.8645 0.5150  6 Te 3.07-3.15
Tb4 0.2503 0.6505 0.1355  6 Te 3.07-3.15
Tb5 0.7497 0.3495 0.8645  6 Te 3.07-3.15
Tb6 0.7497 0.1355 0.4850  6 Te 3.07-3.15
Tl1 0.5000 0.0000 0.0000  6 Te 4.05, 2 Tl 4.44